## LiCo3P3O13 (GGA+U)

Data for an optimized crystal structure of LiCo3P3O13.

Calculated values
Raw total energy = -261.1 eV for the cell shown
DOS at the Fermi energy = 0.018 states/eV per atom
Crystal system = monoclinic
V = 470.9 Å³ per cell

The structure in CIF format:
```
data_LiCo3P3O13
_symmetry_space_group_name_H-M 'P 1 21/m 1'
_symmetry_Int_Tables_number 11
_cell_length_a 7.3549
_cell_length_b 6.1983
_cell_length_c 10.4881
_cell_angle_alpha 90.00
_cell_angle_beta 99.96
_cell_angle_gamma 90.00
loop_
_symmetry_equiv_pos_as_xyz
'x,y,z'
'-x,-y,-z'
'-x,y+1/2,-z'
'x,-y+1/2,z'
loop_
_atom_site_label
_atom_site_fract_x
_atom_site_fract_y
_atom_site_fract_z
_atom_site_occupancy
Li1 0.1216 0.2500 0.1393 1
Co1 0.1305 0.2500 0.8042 1
Co2 0.2869 0.7500 0.4541 1
Co3 0.5000 0.0000 0.0000 1
P1 0.1966 0.7500 0.1252 1
P2 0.2307 0.7500 0.7731 1
P3 0.2767 0.2500 0.5279 1
O1 0.0051 0.2500 0.9534 1
O2 0.1072 0.5588 0.8019 1
O3 0.1469 0.7500 0.2630 1
O4 0.1580 0.2500 0.6352 1
O5 0.2289 0.0515 0.4410 1
O6 0.2925 0.7500 0.6425 1
O7 0.3016 0.5426 0.1002 1
O8 0.3549 0.2500 0.8991 1
O9 0.4102 0.7500 0.8823 1
O10 0.4846 0.2500 0.5926 1
```